No. 1
Entry from the Alexandria database: a relaxed structure of Dy2YMgRh4 (PBE-GGA).

Computed properties:
ρ: 9.306 g/cm³
E: -53.05 eV for the cell shown
Total moment: 0.0 μB per formula unit
E_form: -0.798 eV per atom

Cell lengths 8.247, 8.247, 8.247 Å; angles 33.44, 33.44, 33.44 degrees
Atoms (fractional coordinates):
Dy: 0.245 0.245 0.245
Dy: 0.755 0.755 0.755
Y: 0.000 0.000 0.000
Mg: 0.500 0.500 0.500
Rh: 0.125 0.125 0.125
Rh: 0.377 0.377 0.377
Rh: 0.623 0.623 0.623
Rh: 0.875 0.875 0.875

No. 2
Entry from the Alexandria database: a relaxed structure of HfBeAu2S (PBE-GGA).

Computed properties:
ρ: 11.528 g/cm³
Uncorrected formation energy: 0.066 eV per atom
E: -24.03 eV for the cell shown
Total moment: 0.0 μB per formula unit

Cell lengths 4.662, 4.662, 4.066 Å; angles 90.00, 90.00, 90.00 degrees
Atoms (fractional coordinates):
Hf: 0.000 0.000 0.000
Be: 0.500 0.500 0.500
Au: 0.000 0.500 0.500
Au: 0.500 0.000 0.500
S: 0.500 0.500 0.000

No. 3
Entry from the Alexandria database: a relaxed structure of BaLi2LaGe2 (PBE-GGA).

Computed properties:
ρ: 4.559 g/cm³
E: -23.24 eV for the cell shown
Total moment: 0.0 μB per formula unit
E_form: -0.554 eV per atom

Cell lengths 4.746, 4.746, 8.130 Å; angles 90.00, 90.00, 120.00 degrees
Atoms (fractional coordinates):
Ba: 0.000 0.000 0.000
Li: 0.333 0.667 0.307
Li: 0.667 0.333 0.693
La: 0.000 0.000 0.500
Ge: 0.333 0.667 0.701
Ge: 0.667 0.333 0.299

No. 4
Entry from the Alexandria database: a relaxed structure of USn4S7 (PBE-GGA).

Computed properties:
ρ: 4.452 g/cm³
Uncorrected formation energy: -0.535 eV per atom
E: -62.62 eV for the cell shown
Total moment: 0.8 μB per formula unit

Cell lengths 5.272, 7.966, 8.697 Å; angles 88.83, 87.89, 73.32 degrees
Atoms (fractional coordinates):
U: 0.000 0.000 0.000
Sn: 0.124 0.447 0.771
Sn: 0.435 0.075 0.333
Sn: 0.565 0.925 0.667
Sn: 0.876 0.553 0.229
S: 0.014 0.017 0.702
S: 0.152 0.664 0.996
S: 0.316 0.392 0.358
S: 0.500 0.000 0.000
S: 0.684 0.608 0.642
S: 0.848 0.336 0.004
S: 0.986 0.983 0.298